[1]
A plane-wave DFT calculation with PBE-GGA was carried out for an optimized crystal structure of La3YZn4.

SG   P4/mmm (123)

Unit cell a=3.708 b=3.708 c=14.924 alpha=90.00 beta=90.00 gamma=90.00
Fractional coordinates of all 8 atoms:
La 0.000 0.000 0.000
La 0.000 0.000 0.256
La 0.000 0.000 0.744
Y 0.000 0.000 0.500
Zn 0.500 0.500 0.126
Zn 0.500 0.500 0.389
Zn 0.500 0.500 0.611
Zn 0.500 0.500 0.874


[2]
A plane-wave DFT calculation with PBE-GGA was carried out for an optimized crystal structure of SrMgTl6.

SG   P4/mmm (123)

Unit cell a=5.441 b=5.441 c=8.046 alpha=90.00 beta=90.00 gamma=90.00
Fractional coordinates of all 8 atoms:
Sr 0.000 0.000 0.000
Mg 0.000 0.000 0.500
Tl 0.000 0.500 0.272
Tl 0.000 0.500 0.728
Tl 0.500 0.000 0.272
Tl 0.500 0.000 0.728
Tl 0.500 0.500 0.000
Tl 0.500 0.500 0.500


[3]
A plane-wave DFT calculation with PBE-GGA was carried out for an optimized crystal structure of CeNdNiRu.

SG   Amm2 (38)
Distance to the lowest polymorph of the same formula   0 meV per atom

Unit cell a=3.925 b=6.060 c=6.060 alpha=36.95 beta=90.00 gamma=90.00
Fractional coordinates of all 4 atoms:
Ce 0.000 0.000 0.000
Nd 0.500 0.273 0.273
Ni 0.000 0.703 0.703
Ru 0.500 0.540 0.540


Number 1: E -3.609 eV per atom. Number 2: E -2.317 eV per atom. Number 3: E -6.781 eV per atom.